--- one ---
VASP calculation (PBE) on a relaxed structure of NbIrS3.

The structure in extended XYZ format:
```
5
Lattice="4.7457 0.0000 0.0000 0.0000 4.7457 0.0000 0.0000 0.0000 4.7457" Properties=species:S:1:pos:R:3 pbc="T T T"
Nb 0.0000 0.0000 0.0000
Ir 2.3729 2.3729 2.3729
S 0.0000 0.0000 2.3729
S 0.0000 2.3729 0.0000
S 2.3729 0.0000 0.0000
```

**Total magnetic moment**: 2.51 μB per cell


--- two ---
VASP calculation (PBE) on a relaxed structure of NbIrS3.

The structure in extended XYZ format:
```
5
Lattice="4.5633 0.0000 0.0000 0.0000 4.5633 0.0000 0.0000 0.0000 4.5633" Properties=species:S:1:pos:R:3 pbc="T T T"
Nb 0.0000 0.0000 0.0000
Ir 2.2816 2.2816 2.2816
S 0.0000 2.2816 2.2816
S 2.2816 0.0000 2.2816
S 2.2816 2.2816 0.0000
```

**Total magnetic moment**: 0.00 μB per cell


Least stable: one


--- one ---
VASP calculation (PBE) on a relaxed structure of NbIrS2.

The structure in extended XYZ format:
```
4
Lattice="1.5649 0.9035 7.8923 -1.5649 0.9035 7.8923 0.0000 -1.8069 7.8923" Properties=species:S:1:pos:R:3 pbc="T T T"
Nb 0.0000 0.0000 0.0000
Ir 0.0000 0.0000 11.8384
S 0.0000 0.0000 9.5788
S 0.0000 0.0000 14.0981
```

**Total magnetic moment**: 0.00 μB per cell


--- two ---
VASP calculation (PBE) on a relaxed structure of NbIrS2.

The structure in extended XYZ format:
```
4
Lattice="0.0000 3.0736 3.0736 3.0736 0.0000 3.0736 3.0736 3.0736 0.0000" Properties=species:S:1:pos:R:3 pbc="T T T"
Nb 0.0000 0.0000 0.0000
Ir 3.0736 3.0736 3.0736
S 1.5368 1.5368 1.5368
S 4.6105 4.6105 4.6105
```

**Total magnetic moment**: 0.00 μB per cell


Least stable: two


--- one ---
VASP calculation (PBE) on a relaxed structure of NbIrS2.

The structure in extended XYZ format:
```
8
Lattice="-2.7351 2.7351 5.2415 2.7351 -2.7351 5.2415 2.7351 2.7351 -5.2415" Properties=species:S:1:pos:R:3 pbc="T T T"
Nb 0.0000 0.0000 0.0000
Nb 0.0000 2.7351 2.6208
Ir 2.7351 0.0000 2.6208
Ir 0.0000 0.0000 5.2415
S 1.3676 -1.2908 3.9311
S 1.4443 1.3676 1.3104
S 1.3676 4.0259 -1.3104
S 1.2908 1.3676 6.5519
```

**Total magnetic moment**: 0.00 μB per cell


--- two ---
VASP calculation (PBE) on a relaxed structure of NbIrS2.

The structure in extended XYZ format:
```
4
Lattice="1.6704 0.9644 7.6821 -1.6704 0.9644 7.6821 0.0000 -1.9288 7.6821" Properties=species:S:1:pos:R:3 pbc="T T T"
Nb 0.0000 0.0000 0.0000
Ir 0.0000 0.0000 11.5232
S 0.0000 0.0000 2.4789
S 0.0000 0.0000 20.5675
```

**Total magnetic moment**: 0.00 μB per cell


Least stable: two


--- one ---
VASP calculation (PBE) on a relaxed structure of NbSbIr3.

The structure in extended XYZ format:
```
5
Lattice="4.7718 0.0000 0.0000 0.0000 4.7718 0.0000 0.0000 0.0000 4.7718" Properties=species:S:1:pos:R:3 pbc="T T T"
Nb 0.0000 0.0000 0.0000
Sb 2.3859 2.3859 2.3859
Ir 0.0000 2.3859 2.3859
Ir 2.3859 0.0000 2.3859
Ir 2.3859 2.3859 0.0000
```

**Total magnetic moment**: 0.00 μB per cell


--- two ---
VASP calculation (PBE) on a relaxed structure of NbSbIr3.

The structure in extended XYZ format:
```
5
Lattice="4.8099 0.0000 0.0000 0.0000 4.8099 0.0000 0.0000 0.0000 4.8099" Properties=species:S:1:pos:R:3 pbc="T T T"
Nb 0.0000 0.0000 0.0000
Sb 2.4050 2.4050 2.4050
Ir 0.0000 0.0000 2.4050
Ir 0.0000 2.4050 0.0000
Ir 2.4050 0.0000 0.0000
```

**Total magnetic moment**: 0.00 μB per cell


Least stable: one


--- one ---
VASP calculation (PBE) on a relaxed structure of NbSbTe2Ir.

The structure in extended XYZ format:
```
5
Lattice="5.3501 0.0000 0.0000 0.0000 5.3501 0.0000 0.0000 0.0000 4.9225" Properties=species:S:1:pos:R:3 pbc="T T T"
Nb 0.0000 0.0000 0.0000
Sb 2.6750 2.6750 0.0000
Te 0.0000 2.6750 2.4613
Te 2.6750 0.0000 2.4613
Ir 2.6750 2.6750 2.4613
```

**Total magnetic moment**: 2.56 μB per cell


--- two ---
VASP calculation (PBE) on a relaxed structure of NbSbTe2Ir.

The structure in extended XYZ format:
```
5
Lattice="5.2425 0.0000 0.0000 0.0000 5.2425 0.0000 0.0000 0.0000 5.3071" Properties=species:S:1:pos:R:3 pbc="T T T"
Nb 0.0000 0.0000 0.0000
Sb 0.0000 0.0000 2.6535
Te 0.0000 2.6213 0.0000
Te 2.6213 0.0000 0.0000
Ir 2.6213 2.6213 2.6535
```

**Total magnetic moment**: 0.46 μB per cell


Least stable: two


--- one ---
VASP calculation (PBE) on a relaxed structure of ScNb3Ir.

The structure in extended XYZ format:
```
5
Lattice="4.8956 0.0000 0.0000 0.0000 4.8956 0.0000 0.0000 0.0000 4.8956" Properties=species:S:1:pos:R:3 pbc="T T T"
Sc 0.0000 0.0000 0.0000
Nb 0.0000 2.4478 2.4478
Nb 2.4478 0.0000 2.4478
Nb 2.4478 2.4478 0.0000
Ir 2.4478 2.4478 2.4478
```

**Total magnetic moment**: 0.00 μB per cell


--- two ---
VASP calculation (PBE) on a relaxed structure of ScNb3Ir.

The structure in extended XYZ format:
```
5
Lattice="4.6325 0.0000 0.0000 0.0000 4.6325 0.0000 0.0000 0.0000 4.6325" Properties=species:S:1:pos:R:3 pbc="T T T"
Sc 0.0000 0.0000 0.0000
Nb 0.0000 0.0000 2.3163
Nb 0.0000 2.3163 0.0000
Nb 2.3163 0.0000 0.0000
Ir 2.3163 2.3163 2.3163
```

**Total magnetic moment**: 0.00 μB per cell


Least stable: two


--- one ---
VASP calculation (PBE) on a relaxed structure of ScNb2Ir.

The structure in extended XYZ format:
```
8
Lattice="-3.8362 3.8362 2.6952 3.8362 -3.8362 2.6952 3.8362 3.8362 -2.6952" Properties=species:S:1:pos:R:3 pbc="T T T"
Sc 0.0000 0.0000 0.0000
Sc 0.0000 3.8362 1.3476
Nb 1.9181 -1.5891 2.0214
Nb 2.2471 1.9181 0.6738
Nb 1.9181 5.4252 -0.6738
Nb 1.5891 1.9181 3.3690
Ir 3.8362 0.0000 1.3476
Ir 0.0000 0.0000 2.6952
```

**Total magnetic moment**: 0.00 μB per cell


--- two ---
VASP calculation (PBE) on a relaxed structure of ScNb2Ir.

The structure in extended XYZ format:
```
4
Lattice="0.0000 3.2550 3.2550 3.2550 0.0000 3.2550 3.2550 3.2550 0.0000" Properties=species:S:1:pos:R:3 pbc="T T T"
Sc 0.0000 0.0000 0.0000
Nb 1.6275 1.6275 1.6275
Nb 4.8825 4.8825 4.8825
Ir 3.2550 3.2550 3.2550
```

**Total magnetic moment**: 0.00 μB per cell


Least stable: one


--- one ---
VASP calculation (PBE) on a relaxed structure of NbIr2Se2.

The structure in extended XYZ format:
```
5
Lattice="-1.9519 1.9519 5.9204 1.9519 -1.9519 5.9204 1.9519 1.9519 -5.9204" Properties=species:S:1:pos:R:3 pbc="T T T"
Nb 0.0000 0.0000 0.0000
Ir 1.9519 0.0000 2.9602
Ir 0.0000 1.9519 2.9602
Se 0.0000 0.0000 4.5374
Se 0.0000 0.0000 7.3034
```

**Total magnetic moment**: 1.40 μB per cell


--- two ---
VASP calculation (PBE) on a relaxed structure of NbIr2Se2.

The structure in extended XYZ format:
```
10
Lattice="7.2677 0.0000 0.0000 0.0000 7.2677 0.0000 0.0000 0.0000 3.1239" Properties=species:S:1:pos:R:3 pbc="T T T"
Nb 0.0000 0.0000 0.0000
Nb 3.6339 3.6339 0.0000
Ir 1.0735 2.5604 1.5620
Ir 2.5604 6.1943 1.5620
Ir 4.7073 1.0735 1.5620
Ir 6.1943 4.7073 1.5620
Se 1.1707 4.8045 0.0000
Se 2.4632 1.1707 0.0000
Se 4.8045 6.0971 0.0000
Se 6.0971 2.4632 0.0000
```

**Total magnetic moment**: 0.00 μB per cell


Least stable: one